(1)
Density functional theory data (PBE) for a relaxed structure of CsTl2HgRh.

Calculated values
**ΔE to the lowest computed polymorph**: 0.182 eV per atom
**Volume**: 186 Å³ per cell
**Formation enthalpy at 0 K**: 0.04 eV/atom

a b c (Å): 5.3353 5.3353 6.5295
angles (deg): 90.00 90.00 90.00
Sites, in units of the cell vectors:
Cs  0.0000  0.0000  0.5000
Tl  0.0000  0.5000  0.0000
Tl  0.5000  0.0000  0.0000
Hg  0.5000  0.5000  0.5000
Rh  0.0000  0.0000  0.0000

(2)
Density functional theory data (PBE) for a relaxed structure of La3Sm4Y5.

Calculated values
**ΔE to the lowest computed polymorph**: 0.208 eV per atom
**Volume**: 416 Å³ per cell
**Formation enthalpy at 0 K**: 0.23 eV/atom

a b c (Å): 6.0358 8.6950 9.7994
angles (deg): 105.75 72.06 69.69
Sites, in units of the cell vectors:
Sm  0.8603  0.2222  0.0572
Y  0.3739  0.0531  0.1991
La  0.5196  0.6883  0.2725
Sm  0.1397  0.7778  0.9428
Sm  0.8309  0.9611  0.3770
Y  0.7805  0.5478  0.8911
Y  0.6261  0.9469  0.8009
Sm  0.1691  0.0389  0.6230
Y  0.5000  0.5000  0.5000
La  0.0000  0.5000  0.5000
Y  0.2195  0.4522  0.1089
La  0.4804  0.3117  0.7275

(3)
Density functional theory data (PBE) for a relaxed structure of Ta3MnCl.

Calculated values
**ΔE to the lowest computed polymorph**: 0.158 eV per atom
**Volume**: 89 Å³ per cell
**Formation energy from raw total energies**: 6.20 eV per formula unit

a b c (Å): 4.4708 4.4708 4.4708
angles (deg): 90.00 90.00 90.00
Sites, in units of the cell vectors:
Mn  0.5000  0.5000  0.5000
Ta  0.0000  0.0000  0.5000
Ta  0.0000  0.5000  0.0000
Ta  0.5000  0.0000  0.0000
Cl  0.0000  0.0000  0.0000

> Among the records above, which one has the lowest ΔE to the lowest computed polymorph?

Ta3MnCl

> volume of number 3 (Ta3MnCl)?

89 Å³ per cell

> Among the records above, which one has the lowest volume?

Ta3MnCl

> Number 3 is which compound?

Ta3MnCl